No. 1
Here is a relaxed MgAsPdAu crystal from the Alexandria database. Energies are from PBE.

Properties
- total magnetic moment (μB per atom) = 0.000
- space group = No. 216
- crystal system = cubic
- raw total energy (eV/atom) = -3.987

Structure (POSCAR):
```
MgAsPdAu
1.0
4.5981 0.0000 0.0000
2.2991 3.9821 0.0000
2.2991 1.3274 3.7543
Pd Au Mg As
1 1 1 1
direct
0.7500 0.7500 0.7500
0.2500 0.2500 0.2500
0.5000 0.5000 0.5000
0.0000 0.0000 0.0000
```


No. 2
Here is a relaxed Rb2MgHF6 crystal from the Alexandria database. Energies are from PBE.

Properties
- total magnetic moment (μB per atom) = 0.100
- space group = No. 139
- crystal system = tetragonal
- raw total energy (eV/atom) = -4.041

Structure (POSCAR):
```
Rb2MgHF6
1.0
-0.0004 -4.6437 2.5280
4.7055 -1.1531 -2.1173
4.7706 -0.6421 4.3504
H Rb F Mg
1 2 6 1
direct
0.5000 0.5000 0.0000
0.7500 0.2500 0.5000
0.2500 0.7500 0.5000
0.8190 0.8190 0.3620
0.7149 0.7149 0.0000
0.1810 0.1810 0.6380
0.2851 0.7149 0.0000
0.2851 0.2851 0.0000
0.7149 0.2851 0.0000
0.0000 0.0000 0.0000
```


No. 3
Here is a relaxed Tm6ZnCu5 crystal from the Alexandria database. Energies are from PBE.

Properties
- total magnetic moment (μB per atom) = 0.000
- space group = No. 10
- crystal system = monoclinic
- raw total energy (eV/atom) = -4.350

Structure (POSCAR):
```
Tm6ZnCu5
1.0
-4.3058 -2.1933 0.5616
2.2739 -2.9968 5.7297
-4.5315 4.5701 4.1887
Cu Tm Zn
5 6 1
direct
0.0000 0.5000 0.0000
0.3385 0.0000 0.3261
0.6659 0.5000 0.6677
0.3341 0.5000 0.3323
0.6615 0.0000 0.6739
0.1684 0.2520 0.6628
0.8316 0.2520 0.3372
0.5000 0.2550 0.0000
0.8316 0.7480 0.3372
0.1684 0.7480 0.6628
0.5000 0.7450 0.0000
0.0000 0.0000 0.0000
```


No. 4
Here is a relaxed SbIF2 crystal from the Alexandria database. Energies are from PBE.

Properties
- total magnetic moment (μB per atom) = 0.000
- space group = No. 11
- crystal system = monoclinic
- raw total energy (eV/atom) = -3.967
- ΔE_f (raw) (meV/atom) = -1613
- polymorph energy (0 for the lowest one) (meV/atom) = 9

Structure (POSCAR):
```
SbIF2
1.0
4.4587 -0.2861 0.0000
-2.6308 6.7423 0.0000
0.0000 0.0000 7.6174
F I Sb
4 2 2
direct
0.3778 0.6186 0.5739
0.6222 0.3814 0.4261
0.6222 0.3814 0.0739
0.3778 0.6186 0.9261
0.9761 0.1312 0.7500
0.0239 0.8688 0.2500
0.4435 0.5174 0.2500
0.5565 0.4826 0.7500
```


No. 5
Here is a relaxed Pm4Y3Th2 crystal from the Alexandria database. Energies are from PBE.

Properties
- total magnetic moment (μB per atom) = 0.000
- space group = No. 15
- crystal system = monoclinic
- raw total energy (eV/atom) = -5.796
- polymorph energy (0 for the lowest one) (meV/atom) = 41

Structure (POSCAR):
```
Pm4Y3Th2
1.0
6.1863 0.0832 0.5005
0.6803 9.4667 3.4730
0.2771 -0.3865 10.0954
Y Pm Th
6 8 4
direct
0.5814 0.7203 0.9408
0.2500 0.3922 0.6078
0.7500 0.6078 0.3922
0.4186 0.2797 0.0592
0.0814 0.9408 0.7203
0.9186 0.0592 0.2797
0.9827 0.1880 0.9128
0.4827 0.9128 0.1880
0.6519 0.8482 0.5827
0.8481 0.4173 0.1518
0.1519 0.5827 0.8482
0.0173 0.8120 0.0872
0.5173 0.0872 0.8120
0.3481 0.1518 0.4173
0.6899 0.4702 0.7479
0.8101 0.2521 0.5298
0.3101 0.5298 0.2521
0.1899 0.7479 0.4702
```


No. 6
Here is a relaxed CaLa7Pr2 crystal from the Alexandria database. Energies are from PBE.

Properties
- total magnetic moment (μB per atom) = 0.000
- space group = No. 65
- crystal system = orthorhombic
- raw total energy (eV/atom) = -4.107

Structure (POSCAR):
```
CaLa7Pr2
1.0
5.7468 0.0000 0.0000
0.0000 9.2131 1.8657
0.0000 3.2305 8.8276
Ca Pr La
1 2 7
direct
0.0000 0.0000 0.0000
0.5000 0.6984 0.6984
0.5000 0.3016 0.3016
0.5000 0.0683 0.6933
0.0000 0.2468 0.2468
0.5000 0.6933 0.0683
0.5000 0.9317 0.3067
0.5000 0.3067 0.9317
0.5000 0.5000 0.5000
0.0000 0.7532 0.7532
```